# Li2SiSe

A crystal of Li2SiSe relaxed with PBEsol (SCAN, Alexandria).

Energy relative to the elements, uncorrected (eV/atom): -0.35
Density (g/cm3): 3.238
Energy relative to the lowest polymorph listed for this composition (meV per atom): 26.2
N(E_F) (states/eV per atom): 0.37

Cell lengths 2.7945, 2.7945, 7.9403 Å; angles 90.00, 90.00, 90.00 degrees
Fractional positions:
Li 0.0000 0.0000 0.7439
Li 0.0000 0.0000 0.2562
Si 0.5000 0.5000 0.5001
Se 0.5000 0.5000 0.0001



# ZrPtCl2

A crystal of ZrPtCl2 relaxed with PBEsol (SCAN, Alexandria).

Energy relative to the elements, uncorrected (eV/atom): -1.37
Density (g/cm3): 6.692
Energy relative to the lowest polymorph listed for this composition (meV per atom): 0.0

Cell lengths 3.3552, 3.6090, 7.5388 Å; angles 103.85, 90.00, 90.00 degrees
Fractional positions:
Zr 0.5000 0.3451 0.6903
Pt 0.0000 0.9242 0.8484
Cl 0.5000 0.5206 0.0412
Cl 0.0000 0.2136 0.4272



# Li2AsW

A crystal of Li2AsW relaxed with PBEsol (SCAN, Alexandria).

DFT formation energy (eV/atom): 0.1416
Density (g/cm3): 7.583
N(E_F) (states/eV per atom): 0.37

Cell lengths 2.7103, 4.8548, 5.2919 Å; angles 113.38, 98.35, 104.00 degrees
Fractional positions:
As 0.0000 0.5000 0.0000
Li 0.0000 0.0000 0.5000
Li 0.5000 0.5000 0.5000
W 0.5000 0.0000 0.0000



# MnRe2Mo

A crystal of MnRe2Mo relaxed with PBEsol (SCAN, Alexandria).

DFT formation energy (eV/atom): 0.1976
Density (g/cm3): 15.572
Energy relative to the lowest polymorph listed for this composition (meV per atom): 231.3
N(E_F) (states/eV per atom): 0.85

Cell lengths 2.7128, 2.7128, 8.8949 Å; angles 81.23, 81.23, 60.00 degrees
Fractional positions:
Re 0.7542 0.7542 0.7374
Re 0.0014 0.0014 0.9957
Mo 0.2456 0.2456 0.2631
Mn 0.4987 0.4987 0.5038



# K2CdPt

A crystal of K2CdPt relaxed with PBEsol (SCAN, Alexandria).

DFT formation energy (eV/atom): 0.1247
Density (g/cm3): 6.186
Energy relative to the lowest polymorph listed for this composition (meV per atom): 310.4
N(E_F) (states/eV per atom): 0.32

Cell lengths 3.1330, 3.1330, 10.5476 Å; angles 90.00, 90.00, 90.00 degrees
Fractional positions:
K 0.0000 0.0000 0.2117
K 0.0000 0.0000 0.7883
Pt 0.5000 0.5000 0.0000
Cd 0.5000 0.5000 0.5000



# TeOsPt

A crystal of TeOsPt relaxed with PBEsol (SCAN, Alexandria).

Energy relative to the elements, uncorrected (eV/atom): 0.54
Density (g/cm3): 15.320
Energy relative to the lowest polymorph listed for this composition (meV per atom): 0.0
N(E_F) (states/eV per atom): 0.57

Cell lengths 4.2840, 4.2840, 4.2840 Å; angles 60.00, 60.00, 60.00 degrees
Fractional positions:
Te 0.7500 0.7500 0.7500
Os 0.0000 0.0000 0.0000
Pt 0.5000 0.5000 0.5000



# Li3AuF

A crystal of Li3AuF relaxed with PBEsol (SCAN, Alexandria).

Energy relative to the elements, uncorrected (eV/atom): -1.47
Density (g/cm3): 6.258
N(E_F) (states/eV per atom): 0.43

Cell lengths 3.9756, 3.9756, 3.9756 Å; angles 90.00, 90.00, 90.00 degrees
Fractional positions:
F 0.0000 0.0000 0.0000
Au 0.5000 0.5000 0.5000
Li 0.0000 0.5000 0.0000
Li 0.0000 0.0000 0.5000
Li 0.5000 0.0000 0.0000



# MoPb2Br

A crystal of MoPb2Br relaxed with PBEsol (SCAN, Alexandria).

Energy relative to the elements, uncorrected (eV/atom): 0.66
Density (g/cm3): 10.117
Energy relative to the lowest polymorph listed for this composition (meV per atom): 220.6
N(E_F) (states/eV per atom): 0.54

Cell lengths 3.3290, 5.2778, 5.5139 Å; angles 90.00, 90.00, 90.00 degrees
Fractional positions:
Pb 0.5000 0.0000 0.5000
Pb 0.0000 0.0000 0.0000
Br 0.5000 0.5000 0.0000
Mo 0.0000 0.5000 0.5000